Entry 1:
Entry from the Alexandria database: a geometry-optimized ZrPd2Pb structure (PBE-GGA).

Summary:
As for the formation enthalpy at 0 K: -0.527 eV/atom. As for the total energy: -0.45478 Ry/atom. The magnetic moment comes out at 0.00 μB per cell.

Cell: 3.5272 3.5272 6.4321 Å, 90.00 90.00 90.00°
Last column: nearest neighbours and their distance in Å.
Space group P4/mmm (No. 123)
Asymmetric unit:
Zr (0.0000, 0.0000, 0.0000) [1 per cell]  8 Pd 2.85
Pd (0.5000, 0.5000, 0.2158) [2 per cell]  1 Pd 2.78, 4 Zr 2.85, 4 Pb 3.09
Pb (0.0000, 0.0000, 0.5000) [1 per cell]  8 Pd 3.09, 2 Zr 3.22


Entry 2:
Entry from the Alexandria database: a geometry-optimized ZnP2Os structure (PBE-GGA).

Summary:
As for the formation enthalpy at 0 K: 0.161 eV/atom. As for the total energy: -0.41672 Ry/atom. The magnetic moment comes out at 0.00 μB per cell.

Cell: 2.8967 2.8967 7.0362 Å, 90.00 90.00 90.00°
Last column: nearest neighbours and their distance in Å.
Space group P4/mmm (No. 123)
Asymmetric unit:
Zn (0.0000, 0.0000, 0.0000) [1 per cell]  8 P 2.87, 4 Zn 2.90
P (0.5000, 0.5000, 0.2850) [2 per cell]  4 Os 2.55
Os (0.0000, 0.0000, 0.5000) [1 per cell]  8 P 2.55


Entry 3:
Entry from the Alexandria database: a geometry-optimized PmSmScCd structure (PBE-GGA).

Summary:
As for the formation enthalpy at 0 K: -0.058 eV/atom. As for the total energy: -0.31139 Ry/atom. The magnetic moment comes out at 0.00 μB per cell.

Cell: 7.6736 7.6736 7.6736 Å, 90.00 90.00 90.00°
Last column: nearest neighbours and their distance in Å.
Space group F-43m (No. 216)
Asymmetric unit:
Pm (0.0000, 0.0000, 0.0000) [4 per cell]  4 Cd 3.32, 4 Sc 3.32
Sm (0.0000, 0.0000, 0.5000) [4 per cell]  4 Cd 3.32, 4 Sc 3.32
Sc (0.2500, 0.2500, 0.2500) [4 per cell]  4 Pm 3.32, 4 Sm 3.32
Cd (0.2500, 0.2500, 0.7500) [4 per cell]  4 Pm 3.32, 4 Sm 3.32


Entry 4:
Entry from the Alexandria database: a geometry-optimized Hf7Bi2SbH2 structure (PBE-GGA).

Summary:
As for the total energy: -0.55754 Ry/atom. The magnetic moment comes out at 0.00 μB per cell.

Cell: 6.1376 6.1082 12.3841 Å, 90.00 100.09 90.00°
Last column: nearest neighbours and their distance in Å.
Space group C2/m (No. 12)
Asymmetric unit:
Hf (0.0000, 0.0000, 0.0000) [2 per cell]  2 H 2.13
Hf (0.1331, 0.0000, 0.3957) [4 per cell]  1 H 2.69, 1 Bi 3.02
Hf (0.1844, 0.2487, 0.8140) [8 per cell]  2 H 2.17
Bi (0.1307, 0.5000, 0.3691) [4 per cell]  9 Hf 3.02-3.13
Sb (0.0000, 0.5000, 0.0000) [2 per cell]  12 Hf 3.05-3.14
H (0.0630, 0.0000, 0.1747) [4 per cell]  5 Hf 2.13-2.17


Entry 5:
Entry from the Alexandria database: a geometry-optimized FeRu2SeI structure (PBE-GGA).

Summary:
The calculation puts the raw formation energy at 2.345 eV per atom. As for the total energy: -0.29875 Ry/atom. The magnetic moment comes out at 2.45 μB per cell.

Cell: 4.8156 4.8156 5.4310 Å, 90.00 90.00 90.00°
Last column: nearest neighbours and their distance in Å.
Space group P4/mmm (No. 123)
Asymmetric unit:
Fe (0.0000, 0.0000, 0.0000) [1 per cell]  4 Se 3.41, 8 Ru 3.63
Ru (0.0000, 0.5000, 0.5000) [2 per cell]  2 I 2.41
Se (0.5000, 0.5000, 0.0000) [1 per cell]  2 I 2.72
I (0.5000, 0.5000, 0.5000) [1 per cell]  4 Ru 2.41


Entry 6:
Entry from the Alexandria database: a geometry-optimized DyNiPt structure (PBE-GGA).

Summary:
As for the formation enthalpy at 0 K: -0.790 eV/atom. As for the total energy: -0.46045 Ry/atom. The magnetic moment comes out at 0.35 μB per cell.

Cell: 4.2231 4.2231 3.7037 Å, 90.00 90.00 120.00°
Last column: nearest neighbours and their distance in Å.
Space group P-6m2 (No. 187)
Asymmetric unit:
Dy (0.0000, 0.0000, 0.0000) [1 per cell]  6 Ni 3.06, 6 Pt 3.06
Ni (0.6667, 0.3333, 0.5000) [1 per cell]  3 Pt 2.44
Pt (0.3333, 0.6667, 0.5000) [1 per cell]  3 Ni 2.44


Entry 7:
Entry from the Alexandria database: a geometry-optimized Sm3GaRh8 structure (PBE-GGA).

Summary:
As for the formation enthalpy at 0 K: -0.558 eV/atom. As for the total energy: -0.50648 Ry/atom. The magnetic moment comes out at 0.00 μB per cell.

Cell: 5.3293 5.3293 26.2048 Å, 90.00 90.00 120.00°
Last column: nearest neighbours and their distance in Å.
Space group R3m (No. 160, hexagonal axes)
Asymmetric unit:
Sm (0.0000, 0.0000, 0.0000) [3 per cell]  12 Rh 3.01-3.18, 3 Ga 3.17
Sm (0.0000, 0.0000, 0.1293) [3 per cell]  12 Rh 3.13-3.16, 4 Sm 3.35-3.39
Sm (0.0000, 0.0000, 0.5135) [3 per cell]  12 Rh 3.02-3.36, 1 Ga 3.26, 3 Sm 3.35
Ga (0.0000, 0.0000, 0.6378) [3 per cell]  12 Rh 2.92-3.23, 4 Sm 3.17-3.26
Rh (0.0000, 0.0000, 0.3164) [3 per cell]  6 Rh 2.63-2.67
Rh (0.0000, 0.0000, 0.8170) [3 per cell]  6 Rh 2.69-2.70
Rh (0.9999, 0.4999, 0.5681) [9 per cell]  6 Rh 2.63-2.70
Rh (0.1674, 0.3349, 0.3994) [9 per cell]  6 Rh 2.65-2.69, 1 Ga 2.92


Entry 8:
Entry from the Alexandria database: a geometry-optimized TbNd2PuS4 structure (PBE-GGA).

Summary:
The calculation puts the raw formation energy at -1.974 eV per atom. As for the total energy: -0.55859 Ry/atom. The magnetic moment comes out at 5.69 μB per cell.

Cell: 6.9332 3.9853 6.9639 Å, 90.00 109.17 90.00°
Last column: nearest neighbours and their distance in Å.
Space group P2/m (No. 10)
Asymmetric unit:
Tb (0.0000, 0.0000, 0.0000) [1 per cell]  6 S 2.79
Nd (0.0000, 0.5000, 0.5000) [1 per cell]  6 S 2.87
Nd (0.5000, 0.0000, 0.5000) [1 per cell]  6 S 2.88
Pu (0.5000, 0.5000, 0.0000) [1 per cell]  6 S 2.79
S (0.2450, 0.5000, 0.2383) [2 per cell]  2 Tb 2.79, 1 Pu 2.79, 3 Nd 2.87-2.88
S (0.2531, 0.0000, 0.7612) [2 per cell]  1 Tb 2.79, 2 Pu 2.79, 3 Nd 2.87-2.88


Entry 9:
Entry from the Alexandria database: a geometry-optimized MgGeSbO6 structure (PBE-GGA).

Summary:
The calculation puts the raw formation energy at -1.603 eV per atom. As for the total energy: -0.44518 Ry/atom. The magnetic moment comes out at 2.04 μB per cell.

Cell: 5.1255 5.1255 8.9206 Å, 90.00 90.00 120.00°
Last column: nearest neighbours and their distance in Å.
Space group P-31c (No. 163)
Asymmetric unit:
Mg (0.0000, 0.0000, 0.0000) [2 per cell]  6 O 2.15
Ge (0.3333, 0.6667, 0.2500) [2 per cell]  6 O 1.92
Sb (0.3333, 0.6667, 0.7500) [2 per cell]  6 O 2.01
O (0.0134, 0.3576, 0.1325) [12 per cell]  1 Ge 1.92, 1 Sb 2.01, 1 Mg 2.15


Entry 10:
Entry from the Alexandria database: a geometry-optimized GeIO structure (PBE-GGA).

Summary:
The calculation puts the raw formation energy at -0.821 eV per atom. As for the total energy: -0.33295 Ry/atom. The magnetic moment comes out at 0.00 μB per cell.

Cell: 3.9991 4.6806 9.5536 Å, 86.31 89.92 64.72°
Last column: nearest neighbours and their distance in Å.
Space group P-1 (No. 2)
Asymmetric unit:
Ge (0.1375, 0.2259, 0.0592) [2 per cell]  3 O 1.84-2.05
I (0.1518, 0.1941, 0.3254) [2 per cell]  1 Ge 2.54
O (0.3246, 0.8509, 0.9721) [2 per cell]  3 Ge 1.84-2.05


Entry 11:
Entry from the Alexandria database: a geometry-optimized PuZrGe2 structure (PBE-GGA).

Summary:
As for the formation enthalpy at 0 K: -0.557 eV/atom. As for the total energy: -0.63106 Ry/atom. The magnetic moment comes out at 21.66 μB per cell.

Cell: 5.6255 5.7031 10.8149 Å, 90.00 103.37 90.00°
Last column: nearest neighbours and their distance in Å.
Space group P2/c (No. 13)
Asymmetric unit:
Pu (0.1914, 0.1301, 0.1456) [4 per cell]  7 Ge 2.89-3.22
Zr (0.3138, 0.3746, 0.8660) [4 per cell]  7 Ge 2.84-3.14
Ge (0.1694, 0.3717, 0.5958) [4 per cell]  2 Ge 2.67-2.87, 3 Zr 2.84-2.85, 2 Pu 2.89-2.91
Ge (0.3385, 0.1311, 0.4221) [4 per cell]  2 Ge 2.64-2.67, 2 Zr 2.88-2.94, 3 Pu 2.90-2.91


Entry 12:
Entry from the Alexandria database: a geometry-optimized BiOF3 structure (PBE-GGA).

Summary:
The calculation puts the raw formation energy at -0.390 eV per atom. As for the total energy: -0.24111 Ry/atom. The magnetic moment comes out at 2.31 μB per cell.

Cell: 4.1030 4.1030 4.1030 Å, 90.00 90.00 90.00°
Last column: nearest neighbours and their distance in Å.
Space group Pm-3m (No. 221)
Asymmetric unit:
Bi (0.0000, 0.0000, 0.0000) [1 per cell]  12 F 2.90
O (0.5000, 0.5000, 0.5000) [1 per cell]  6 F 2.05
F (0.0000, 0.5000, 0.5000) [3 per cell]  2 O 2.05


Entry 13:
Entry from the Alexandria database: a geometry-optimized SiHg2Ru structure (PBE-GGA).

Summary:
The calculation puts the raw formation energy at 0.531 eV per atom. As for the total energy: -0.24214 Ry/atom. The magnetic moment comes out at 0.42 μB per cell.

Cell: 2.9973 5.3893 4.5925 Å, 90.00 92.12 90.00°
Last column: nearest neighbours and their distance in Å.
Space group P2/m (No. 10)
Asymmetric unit:
Si (0.0000, 0.0000, 0.0000) [1 per cell]  4 Ru 2.70-2.79, 2 Si 3.00, 4 Hg 3.01
Hg (0.2476, 0.5000, 0.2511) [2 per cell]  6 Hg 2.69-3.00, 2 Ru 3.01, 2 Si 3.01
Ru (0.5000, 0.0000, 0.5000) [1 per cell]  4 Si 2.70-2.79, 2 Ru 3.00, 4 Hg 3.01


Entry 14:
Entry from the Alexandria database: a geometry-optimized NdZr2Mn structure (PBE-GGA).

Summary:
As for the formation enthalpy at 0 K: 0.096 eV/atom. As for the total energy: -0.56316 Ry/atom. The magnetic moment comes out at 0.00 μB per cell.

Cell: 3.2594 3.2594 8.4063 Å, 90.00 90.00 90.00°
Last column: nearest neighbours and their distance in Å.
Space group P4/mmm (No. 123)
Asymmetric unit:
Nd (0.0000, 0.0000, 0.0000) [1 per cell]  4 Nd 3.26, 8 Zr 3.54
Zr (0.5000, 0.5000, 0.3204) [2 per cell]  4 Mn 2.76, 1 Zr 3.02
Mn (0.0000, 0.0000, 0.5000) [1 per cell]  8 Zr 2.76


Entry 15:
Entry from the Alexandria database: a geometry-optimized Tc2Os4Ru3 structure (PBE-GGA).

Summary:
As for the formation enthalpy at 0 K: 0.250 eV/atom. As for the total energy: -0.74500 Ry/atom. The magnetic moment comes out at 0.00 μB per cell.

Cell: 12.2687 9.2805 4.6950 Å, 90.00 98.48 90.00°
Last column: nearest neighbours and their distance in Å.
Space group C2/c (No. 15)
Asymmetric unit:
Tc (0.1226, 0.1337, 0.3284) [8 per cell]  3 Os 2.50-2.73, 3 Ru 2.55-2.69
Os (0.0535, 0.3428, 0.0176) [8 per cell]  1 Tc 2.50, 5 Ru 2.61-2.78, 3 Os 2.66-2.78
Os (0.2189, 0.1448, 0.8407) [8 per cell]  2 Os 2.51-2.78, 2 Tc 2.52-2.73, 3 Ru 2.62-2.70
Ru (0.0000, 0.0896, 0.7500) [4 per cell]  4 Tc 2.55-2.69, 4 Os 2.70
Ru (0.1597, 0.4121, 0.5660) [8 per cell]  7 Os 2.61-2.84, 2 Tc 2.68-2.82, 2 Ru 2.86


Entry 16:
Entry from the Alexandria database: a geometry-optimized Nd3AgPt2 structure (PBE-GGA).

Summary:
As for the formation enthalpy at 0 K: -0.754 eV/atom. As for the total energy: -0.41355 Ry/atom. The magnetic moment comes out at 0.00 μB per cell.

Cell: 13.4544 6.0891 8.3312 Å, 90.00 107.81 90.00°
Last column: nearest neighbours and their distance in Å.
Space group C2/c (No. 15)
Asymmetric unit:
Nd (0.0000, 0.0955, 0.2500) [4 per cell]  4 Pt 2.94-2.95, 2 Ag 3.01-3.08
Nd (0.1872, 0.4909, 0.0922) [8 per cell]  4 Pt 2.90-3.08, 1 Ag 3.22
Ag (0.0000, 0.3990, 0.7500) [4 per cell]  6 Nd 3.01-3.25
Pt (0.1559, 0.0099, 0.5800) [8 per cell]  6 Nd 2.90-3.08